(1)
Tm5Hf3Pd12 | PBE | optimized geometry

POSCAR file:
```
Tm5Hf3Pd12
1.0
13.581 0.000 0.000
-4.527 12.804 0.000
-4.527 -6.402 11.088
Tm Hf Pd
20 12 48
Direct
0.250 0.875 0.125
0.500 0.500 0.000
0.625 0.875 0.250
0.250 0.375 0.625
0.750 0.625 0.375
0.000 0.000 0.000
0.875 0.250 0.625
0.375 0.250 0.125
0.125 0.375 0.250
0.000 0.000 0.500
0.375 0.125 0.750
0.875 0.625 0.750
0.500 0.000 0.000
0.000 0.500 0.500
0.750 0.125 0.875
0.500 0.000 0.500
0.500 0.500 0.500
0.625 0.750 0.875
0.000 0.500 0.000
0.125 0.750 0.375
0.625 0.375 0.750
0.750 0.375 0.125
0.125 0.875 0.750
0.375 0.625 0.250
0.375 0.750 0.625
0.875 0.750 0.125
0.125 0.250 0.875
0.250 0.125 0.375
0.750 0.875 0.625
0.625 0.250 0.375
0.250 0.625 0.875
0.875 0.125 0.250
0.571 0.646 0.412
0.425 0.659 0.071
0.734 0.588 0.159
0.912 0.841 0.766
0.575 0.341 0.929
0.429 0.075 0.341
0.354 0.429 0.088
0.266 0.854 0.925
0.354 0.925 0.766
0.925 0.571 0.159
0.841 0.912 0.266
0.412 0.146 0.571
0.659 0.425 0.571
0.734 0.146 0.075
0.912 0.071 0.646
0.925 0.354 0.266
0.588 0.854 0.429
0.266 0.412 0.841
0.646 0.571 0.912
0.071 0.912 0.146
0.929 0.841 0.575
0.412 0.266 0.341
0.088 0.929 0.354
0.425 0.766 0.854
0.646 0.075 0.234
0.146 0.734 0.575
0.766 0.341 0.912
0.234 0.659 0.088
0.341 0.575 0.429
0.429 0.354 0.588
0.929 0.088 0.854
0.659 0.234 0.588
0.341 0.766 0.412
0.071 0.159 0.425
0.766 0.425 0.354
0.571 0.925 0.659
0.575 0.234 0.146
0.854 0.266 0.425
0.234 0.575 0.646
0.088 0.159 0.234
0.159 0.088 0.734
0.841 0.929 0.075
0.159 0.071 0.925
0.075 0.429 0.841
0.588 0.734 0.659
0.854 0.588 0.929
0.146 0.412 0.071
0.075 0.646 0.734
```

---

(2)
Hg2OsRh PBE optimized geometry; energy relative to the lowest polymorph listed for this composition = 0.309 eV per atom
1.0
1.868 -2.329 3.886
4.092 -1.468 2.262
0.727 4.070 3.153
Rh Hg Os
1 2 1
Direct
0.500 0.500 0.000
0.249 0.249 0.751
0.751 0.751 0.249
0.000 0.000 0.500

---

| no. | formation energy (kJ per mole of atoms) |
| --- | --- |
| 1 | -27.01 |
| 2 | 62.44 |